(1)
Entry from Alexandria via LeMat-Bulk: a geometry-optimized TlRe2As structure (GGA-PBE).

Computed properties:
Formation enthalpy at 0 K: 1104 meV/atom
Crystal system: monoclinic
Magnetic moment: 0.00 μB per cell
V: 17.51 Å³/atom

Unit cell a=5.1711 b=5.3121 c=3.0570 alpha=75.24 beta=86.12 gamma=117.86
Atoms (fractional coordinates):
Re1 0.0000 0.0000 0.0000
Re2 0.5000 0.0000 0.5000
Tl1 0.0000 0.5000 0.5000
As1 0.5000 0.5000 0.0000

(2)
Entry from Alexandria via LeMat-Bulk: a geometry-optimized Tl2ReAs structure (GGA-PBE).

Computed properties:
Formation enthalpy at 0 K: 1067 meV/atom
Crystal system: monoclinic
Magnetic moment: 0.00 μB per cell
V: 21.37 Å³/atom

Unit cell a=5.0271 b=2.9511 c=5.7607 alpha=89.97 beta=90.00 gamma=90.00
Atoms (fractional coordinates):
Re1 0.5000 0.7500 0.7500
Tl1 0.0000 0.9910 0.9934
Tl2 0.0000 0.5090 0.5066
As1 0.5000 0.2500 0.2500

(3)
Entry from Alexandria via LeMat-Bulk: a geometry-optimized TlRe2As structure (GGA-PBE).

Computed properties:
Formation enthalpy at 0 K: 421 meV/atom
Crystal system: trigonal
Magnetic moment: 0.00 μB per cell
V: 19.42 Å³/atom

Unit cell a=10.6303 b=10.6303 c=10.6303 alpha=15.81 beta=15.81 gamma=15.81
Atoms (fractional coordinates):
Re1 0.9966 0.9966 0.9966
Re2 0.2635 0.2635 0.2635
Tl1 0.5121 0.5121 0.5121
As1 0.7277 0.7277 0.7277

(4)
Entry from Alexandria via LeMat-Bulk: a geometry-optimized Tl2ReAs structure (GGA-PBE).

Computed properties:
Formation enthalpy at 0 K: 1446 meV/atom
Crystal system: tetragonal
Magnetic moment: 4.04 μB per cell
V: 32.13 Å³/atom

Unit cell a=6.2658 b=6.2658 c=7.9052 alpha=66.65 beta=66.65 gamma=90.00
Atoms (fractional coordinates):
Re1 0.0000 0.0000 0.0000
Re2 0.7500 0.2500 0.5000
Tl1 0.6309 0.1250 0.2500
Tl2 0.1191 0.6250 0.2500
Tl3 0.3750 0.3691 0.7500
Tl4 0.8750 0.8809 0.7500
As1 0.5000 0.5000 0.0000
As2 0.2500 0.7500 0.5000

(5)
Entry from Alexandria via LeMat-Bulk: a geometry-optimized TlReAs2 structure (GGA-PBE).

Computed properties:
Formation enthalpy at 0 K: 947 meV/atom
Crystal system: orthorhombic
Magnetic moment: 0.00 μB per cell
V: 19.51 Å³/atom

Unit cell a=5.5826 b=5.5826 c=2.8756 alpha=90.02 beta=90.02 gamma=119.47
Atoms (fractional coordinates):
Re1 0.5000 0.0000 0.5000
Tl1 0.0000 0.5000 0.5000
As1 0.0000 0.0000 0.0000
As2 0.5000 0.5000 0.0000

(6)
Entry from Alexandria via LeMat-Bulk: a geometry-optimized Tl2ReAs structure (GGA-PBE).

Computed properties:
Formation enthalpy at 0 K: 317 meV/atom
Crystal system: monoclinic
Magnetic moment: 0.00 μB per cell
V: 22.41 Å³/atom

Unit cell a=3.1864 b=3.1898 c=9.3983 alpha=69.77 beta=90.00 gamma=90.00
Atoms (fractional coordinates):
Re1 0.5000 0.7772 0.7081
Tl1 0.0000 0.0445 0.9493
Tl2 0.5000 0.2583 0.2734
As1 0.0000 0.4200 0.5692

(7)
Entry from Alexandria via LeMat-Bulk: a geometry-optimized TlReAs2 structure (GGA-PBE).

Computed properties:
Formation enthalpy at 0 K: 71 meV/atom
Crystal system: trigonal
Magnetic moment: 0.00 μB per cell
V: 21.38 Å³/atom

Unit cell a=9.6935 b=9.6935 c=9.6935 alpha=19.13 beta=19.13 gamma=19.13
Atoms (fractional coordinates):
Re1 0.2500 0.2500 0.2500
Tl1 0.7500 0.7500 0.7500
As1 0.9781 0.9781 0.9781
As2 0.5219 0.5219 0.5219

(8)
Entry from Alexandria via LeMat-Bulk: a geometry-optimized TlReAs2 structure (GGA-PBE).

Computed properties:
Formation enthalpy at 0 K: 580 meV/atom
Crystal system: monoclinic
Magnetic moment: 0.00 μB per cell
V: 21.63 Å³/atom

Unit cell a=4.4732 b=3.7806 c=5.3155 alpha=74.25 beta=90.00 gamma=90.00
Atoms (fractional coordinates):
Re1 0.5000 0.2500 0.2500
Tl1 0.5000 0.7500 0.7500
As1 0.0000 0.0677 0.0816
As2 0.0000 0.4323 0.4184

(9)
Entry from Alexandria via LeMat-Bulk: a geometry-optimized TlReAs2 structure (GGA-PBE).

Computed properties:
Formation enthalpy at 0 K: 487 meV/atom
Crystal system: trigonal
Magnetic moment: 0.00 μB per cell
V: 19.87 Å³/atom

Unit cell a=9.5627 b=9.5627 c=9.5627 alpha=18.82 beta=18.82 gamma=18.82
Atoms (fractional coordinates):
Re1 0.5108 0.5108 0.5108
Tl1 0.7573 0.7573 0.7573
As1 0.9940 0.9940 0.9940
As2 0.2379 0.2379 0.2379

(10)
Entry from Alexandria via LeMat-Bulk: a geometry-optimized TlReAs2 structure (GGA-PBE).

Computed properties:
Formation enthalpy at 0 K: 651 meV/atom
Crystal system: orthorhombic
Magnetic moment: 0.00 μB per cell
V: 20.52 Å³/atom

Unit cell a=3.0093 b=3.0093 c=9.9907 alpha=90.00 beta=90.00 gamma=114.86
Atoms (fractional coordinates):
Re1 0.0000 0.0000 0.4736
Tl1 0.5000 0.5000 0.7324
As1 0.0000 0.0000 0.0026
As2 0.5000 0.5000 0.2914

(11)
Entry from Alexandria via LeMat-Bulk: a geometry-optimized TlRe2As structure (GGA-PBE).

Computed properties:
Formation enthalpy at 0 K: 590 meV/atom
Crystal system: monoclinic
Magnetic moment: 0.00 μB per cell
V: 22.28 Å³/atom

Unit cell a=4.1849 b=3.0741 c=6.9270 alpha=89.93 beta=90.00 gamma=90.00
Atoms (fractional coordinates):
Re1 0.0000 0.8752 0.0843
Re2 0.5000 0.3752 0.1161
Tl1 0.0000 0.3738 0.4703
As1 0.5000 0.8757 0.8293

(12)
Entry from Alexandria via LeMat-Bulk: a geometry-optimized TlRe2As structure (GGA-PBE).

Computed properties:
Formation enthalpy at 0 K: 898 meV/atom
Crystal system: orthorhombic
Magnetic moment: 0.00 μB per cell
V: 17.50 Å³/atom

Unit cell a=3.0079 b=3.0079 c=8.8224 alpha=90.00 beta=90.00 gamma=118.74
Atoms (fractional coordinates):
Re1 0.0000 0.0000 0.9691
Re2 0.0000 0.0000 0.5309
Tl1 0.5000 0.5000 0.2500
As1 0.5000 0.5000 0.7500

(13)
Entry from Alexandria via LeMat-Bulk: a geometry-optimized TlReAs2 structure (GGA-PBE).

Computed properties:
Formation enthalpy at 0 K: 65 meV/atom
Crystal system: triclinic
Magnetic moment: 0.00 μB per cell
V: 21.87 Å³/atom

Unit cell a=9.6169 b=9.3972 c=9.3632 alpha=161.10 beta=161.39 gamma=26.50
Atoms (fractional coordinates):
Re1 0.7778 0.5553 0.2080
Tl1 0.1621 0.8327 0.3723
As1 0.2392 0.9792 0.2563
As2 0.3209 0.1328 0.1634

(14)
Entry from Alexandria via LeMat-Bulk: a geometry-optimized TlReAs2 structure (GGA-PBE).

Computed properties:
Formation enthalpy at 0 K: 487 meV/atom
Crystal system: orthorhombic
Magnetic moment: 0.00 μB per cell
V: 23.62 Å³/atom

Unit cell a=6.1961 b=6.1961 c=6.1961 alpha=152.07 beta=121.09 gamma=66.43
Atoms (fractional coordinates):
Re1 0.7500 0.2500 0.5000
Tl1 0.2500 0.7500 0.5000
As1 0.9402 0.9402 0.0000
As2 0.5598 0.5598 0.0000

(15)
Entry from Alexandria via LeMat-Bulk: a geometry-optimized TlReAs2 structure (GGA-PBE).

Computed properties:
Formation enthalpy at 0 K: 70 meV/atom
Crystal system: monoclinic
Magnetic moment: 0.00 μB per cell
V: 21.73 Å³/atom

Unit cell a=3.2145 b=3.2145 c=9.7186 alpha=88.78 beta=88.78 gamma=59.99
Atoms (fractional coordinates):
Re1 0.7500 0.7500 0.7500
Tl1 0.2500 0.2500 0.2500
As1 0.0752 0.0752 0.9305
As2 0.4248 0.4248 0.5695